UAg3Pb2Se6 (PBE, relaxed); D(E_F) = 0.014 states/eV/atom; E_tot = -4.533 eV/atom; formation energy (no corrections) = -0.52 eV/atom
1.0
3.6966 -6.7347 0.0000
3.6966 6.7347 0.0000
-1.9148 0.0000 6.3671
U Ag Pb Se
1 3 2 6
direct
0.0000 0.0000 0.0000 U
0.1145 0.8855 0.5000 Ag
0.5000 0.5000 0.5000 Ag
0.8855 0.1145 0.5000 Ag
0.3171 0.6829 0.0000 Pb
0.6829 0.3171 0.0000 Pb
0.0737 0.3708 0.2559 Se
0.2692 0.2692 0.7809 Se
0.3708 0.0737 0.2559 Se
0.6292 0.9263 0.7441 Se
0.7308 0.7308 0.2191 Se
0.9263 0.6292 0.7441 Se

=====

UAg2Pb2Se6 (PBE, relaxed); E_tot = -4.699 eV/atom; formation energy (no corrections) = -0.58 eV/atom
1.0
3.8342 -6.5187 0.0000
3.8342 6.5187 0.0000
-1.3947 0.0000 6.5337
U Ag Pb Se
1 2 2 6
direct
0.0000 0.0000 0.0000 U
0.1128 0.8872 0.5000 Ag
0.8872 0.1128 0.5000 Ag
0.3246 0.6754 0.0000 Pb
0.6754 0.3246 0.0000 Pb
0.0461 0.3497 0.2329 Se
0.2549 0.2549 0.7732 Se
0.3497 0.0461 0.2329 Se
0.6503 0.9539 0.7671 Se
0.7451 0.7451 0.2268 Se
0.9539 0.6503 0.7671 Se

=====

ZnAgPbSe2 (PBE, relaxed); D(E_F) = 0.810 states/eV/atom; E_tot = -2.851 eV/atom; formation energy (no corrections) = 0.11 eV/atom
1.0
5.1124 0.0000 0.0000
0.0000 5.1124 0.0000
0.0000 0.0000 4.8438
Zn Ag Pb Se
1 1 1 2
direct
0.0000 0.0000 0.0000 Zn
0.0000 0.0000 0.5000 Ag
0.5000 0.5000 0.5000 Pb
0.0000 0.5000 0.0000 Se
0.5000 0.0000 0.0000 Se

=====

Si2AgPb (PBE, relaxed); D(E_F) = 0.399 states/eV/atom; E_tot = -3.776 eV/atom; formation energy (no corrections) = 0.58 eV/atom
1.0
4.2524 0.0000 0.0000
0.0000 4.2524 0.0000
0.0000 0.0000 9.1883
Si Ag Pb
4 2 2
direct
0.0000 0.5000 0.2500 Si
0.0000 0.5000 0.7500 Si
0.5000 0.0000 0.2500 Si
0.5000 0.0000 0.7500 Si
0.0000 0.0000 0.0000 Ag
0.5000 0.5000 0.5000 Ag
0.0000 0.0000 0.5000 Pb
0.5000 0.5000 0.0000 Pb